AgHg2MoF6: relaxed, PBE+U.

a = 7.540 Å, b = 7.763 Å, c = 6.488 Å
α = 90.00°, β = 90.00°, γ = 90.00°
Fractional coordinates of all 20 atoms:
Ag (0.250, 0.250, 0.250)
Ag (0.750, 0.750, 0.750)
Hg (0.046, 0.250, 0.596)
Hg (0.454, 0.250, 0.596)
Hg (0.546, 0.750, 0.404)
Hg (0.954, 0.750, 0.404)
Mo (0.250, 0.750, 0.971)
Mo (0.750, 0.250, 0.029)
F (0.024, 0.250, 0.008)
F (0.250, 0.569, 0.763)
F (0.250, 0.579, 0.204)
F (0.250, 0.921, 0.204)
F (0.250, 0.931, 0.763)
F (0.476, 0.250, 0.008)
F (0.524, 0.750, 0.992)
F (0.750, 0.069, 0.237)
F (0.750, 0.079, 0.796)
F (0.750, 0.421, 0.796)
F (0.750, 0.431, 0.237)
F (0.976, 0.750, 0.992)

Values from the calculation:
Final energy = -3.8699 eV/atom
M_tot = 1.83 μB/f.u.
SG = No. 59